# 1
AlAu2Br | PBE-GGA | optimized geometry

Results
Energy above the most stable polymorph in this dataset, eV per atom: 0.078
V, Å³/f.u.: 90.2

Lattice parameters (Å, degrees): 3.6238 3.2271 7.7182 90.00 90.96 90.00
Atoms (fractional coordinates):
Al1 0.0000 0.0000 0.0000
Au1 0.0126 0.0000 0.3550
Au2 0.5052 0.5000 0.1470
Br1 0.9905 0.5000 0.7441

***

# 2
AlAuBr5 | PBE-GGA | optimized geometry

Results
VASP energy, hartree per atom: -0.1043
V, Å³/f.u.: 260.0

Lattice parameters (Å, degrees): 7.7639 7.7698 9.6509 103.65 104.14 104.06
Atoms (fractional coordinates):
Al1 0.1844 0.3149 0.2495
Al2 0.8156 0.6851 0.7505
Au1 0.0000 0.0000 0.5000
Au2 0.5000 0.5000 0.0000
Br1 0.0903 0.7612 0.9355
Br2 0.2153 0.0587 0.3497
Br3 0.2605 0.5883 0.4336
Br4 0.2735 0.2281 0.7495
Br5 0.4406 0.2841 0.1504
Br6 0.5594 0.7159 0.8496
Br7 0.7265 0.7719 0.2505
Br8 0.7395 0.4118 0.5664
Br9 0.7847 0.9413 0.6503
Br10 0.9097 0.2388 0.0645

***

# 3
AlAu2Br | PBE-GGA | optimized geometry

Results
Energy above the most stable polymorph in this dataset, eV per atom: 0.563
V, Å³/f.u.: 81.3

Lattice parameters (Å, degrees): 5.1202 5.1202 5.1202 127.82 127.82 76.92
Atoms (fractional coordinates):
Al1 0.0000 0.0000 0.0000
Au1 0.2500 0.7500 0.5000
Au2 0.5000 0.5000 0.0000
Br1 0.7500 0.2500 0.5000

***

# 4
AlAu2Br | PBE-GGA | optimized geometry

Results
Energy above the most stable polymorph in this dataset, eV per atom: 0.038
V, Å³/f.u.: 89.2

Lattice parameters (Å, degrees): 8.8202 8.8202 8.8202 22.64 22.64 22.64
Atoms (fractional coordinates):
Al1 0.0000 0.0000 0.0000
Au1 0.4707 0.4707 0.4707
Au2 0.7268 0.7268 0.7268
Br1 0.2645 0.2645 0.2645

***

- Which of these has the lowest V?
  number 3

***

- Among the records above, which one has the lowest V?
  number 3